1.
CeGdZr2: relaxed, PBE.

Results
crystal system = tetragonal
polymorph energy (0 for the lowest one) = 3.2 meV/atom
formation energy = 0.139 eV/atom
final energy = -9.139 eV per atom

Structure (extended XYZ):
```
4
Lattice="-4.161 -2.582 -0.192 1.881 -2.795 -3.177 1.565 -2.771 3.364" Properties=species:S:1:pos:R:3 pbc="T T T"
Zr 0.782 -1.386 1.682
Zr 0.941 -1.398 -1.589
Ce -0.358 -4.074 -0.002
Gd -2.081 -1.291 -0.096
```


2.
Cr3ReP: relaxed, PBE.

Results
crystal system = cubic
polymorph energy (0 for the lowest one) = 0.0 meV/atom
formation energy = 0.693 eV/atom
final energy = -8.653 eV per atom

Structure (extended XYZ):
```
5
Lattice="4.111 0.000 0.000 0.000 4.111 0.000 0.000 0.000 4.111" Properties=species:S:1:pos:R:3 pbc="T T T"
P 0.000 0.000 0.000
Cr 0.000 0.000 2.055
Cr 0.000 2.055 0.000
Cr 2.055 0.000 0.000
Re 2.055 2.055 2.055
```


Copy entry 2 word for word.
Cr3ReP: relaxed, PBE.

Results
crystal system = cubic
polymorph energy (0 for the lowest one) = 0.0 meV/atom
formation energy = 0.693 eV/atom
final energy = -8.653 eV per atom

Structure (extended XYZ):
```
5
Lattice="4.111 0.000 0.000 0.000 4.111 0.000 0.000 0.000 4.111" Properties=species:S:1:pos:R:3 pbc="T T T"
P 0.000 0.000 0.000
Cr 0.000 0.000 2.055
Cr 0.000 2.055 0.000
Cr 2.055 0.000 0.000
Re 2.055 2.055 2.055
```


Question: Which value of polymorph energy (0 for the lowest one) does entry 2 give?
Answer: 0.0 meV/atom


Question: Which formula does entry 1 have?
Answer: CeGdZr2